Record 1
Compound: CuAgPt
Source: Alexandria via LeMat-Bulk
Functional: PBE
Structure: optimized geometry

```
CuAgPt
1.0
-2.422 -0.127 -1.374
1.360 -2.345 0.647
-3.335 -0.305 5.909
Ag Cu Pt
1 1 1
Cartesian
-0.040 -0.004 0.072
-2.288 -0.970 1.296
-2.069 -1.804 3.815
```

Calculated values
Mass density: 13.31 Mg/m³
SG: No. 156
Crystal system: trigonal
Energy of formation from the pure elements: -7 kJ/mol of formula units


Record 2
Compound: Cu2AgPt
Source: Alexandria via LeMat-Bulk
Functional: PBE
Structure: optimized geometry

```
Cu2AgPt
1.0
-0.264 0.158 -2.770
-3.770 -0.172 0.350
-0.218 5.471 0.333
Cu Pt Ag
2 1 1
Cartesian
-0.002 0.049 0.003
-2.071 1.356 -1.127
-0.104 2.612 0.159
-2.184 4.175 -0.956
```

Calculated values
Mass density: 12.32 Mg/m³
SG: No. 25
Crystal system: orthorhombic
Energy of formation from the pure elements: -2 kJ/mol of formula units


Record 3
Compound: Cu2AgPt
Source: Alexandria via LeMat-Bulk
Functional: PBE
Structure: optimized geometry

```
Cu2AgPt
1.0
-2.284 -3.567 -0.871
-4.310 0.211 -0.298
-1.926 -0.449 -3.846
Cu Pt Ag
2 1 1
Cartesian
-6.390 -2.854 -3.762
-2.130 -0.951 -1.254
-4.260 -1.903 -2.508
0.000 0.000 0.000
```

Calculated values
Mass density: 12.48 Mg/m³
SG: No. 225
Crystal system: cubic
Energy of formation from the pure elements: -14 kJ/mol of formula units


Record 4
Compound: Cu2AgPt
Source: Alexandria via LeMat-Bulk
Functional: PBE
Structure: optimized geometry

```
Cu2AgPt
1.0
-1.760 2.294 2.484
-3.254 -1.912 -0.539
-0.355 -5.341 7.605
Pt Cu Ag
2 4 2
Cartesian
0.000 0.000 0.000
-2.311 -1.428 5.531
-2.307 -2.290 1.825
-4.718 -3.710 7.395
-2.080 -3.824 6.444
-1.631 -0.094 3.437
-2.507 0.191 0.973
-3.057 -3.531 4.020
```

Calculated values
Mass density: 11.04 Mg/m³
SG: No. 122
Crystal system: tetragonal
Energy of formation from the pure elements: 121 kJ/mol of formula units


Record 5
Compound: Cu2AgPt
Source: Alexandria via LeMat-Bulk
Functional: PBE
Structure: optimized geometry

```
Cu2AgPt
1.0
-2.349 1.032 -0.852
-0.068 -2.455 1.130
-1.287 3.772 8.117
Cu Pt Ag
2 1 1
Cartesian
-1.517 0.192 2.083
-0.020 0.059 0.126
-0.622 1.822 3.921
-2.189 2.162 6.322
```

Calculated values
Mass density: 12.15 Mg/m³
SG: No. 35
Crystal system: orthorhombic
Energy of formation from the pure elements: 20 kJ/mol of formula units


Record 6
Compound: CuAgPt
Source: Alexandria via LeMat-Bulk
Functional: PBE
Structure: optimized geometry

```
CuAgPt
1.0
3.777 -0.027 0.207
0.042 2.759 -0.395
-0.508 -1.468 9.017
Ag Pt Cu
2 2 2
Cartesian
0.708 1.411 5.751
2.664 -0.229 4.426
2.855 2.117 1.274
0.518 -0.933 8.903
2.496 0.248 7.541
0.877 0.935 2.636
```

Calculated values
Mass density: 13.22 Mg/m³
SG: No. 11
Crystal system: monoclinic
Energy of formation from the pure elements: -4 kJ/mol of formula units